(1)
Below is a geometry-optimized ScGe2Ru structure, with properties calculated at the GGA-PBE level.

```
data_ScGe2Ru
_chemical_formula_sum 'Sc4 Ge8 Ru4'
_cell_length_a 3.8867
_cell_length_b 3.8867
_cell_length_c 18.8456
_cell_angle_alpha 90.00
_cell_angle_beta 90.00
_cell_angle_gamma 90.00
_space_group_name_H-M_alt 'I -4 2 d'
_space_group_IT_number 122
_space_group_name_Hall 'I -4 2bw'
loop_
_atom_site_label
_atom_site_type_symbol
_atom_site_fract_x
_atom_site_fract_y
_atom_site_fract_z
Sc1 Sc 0.0000 0.0000 0.0000
Ge1 Ge 0.2339 0.2500 0.6250
Ru1 Ru 0.0000 0.0000 0.5000
```

E	-6.348	eV/atom
Fermi-level density of states	11.5	states/eV/cell



(2)
Below is a geometry-optimized Sc4Ge6Ru7 structure, with properties calculated at the GGA-PBE level.

```
data_Sc4Ge6Ru7
_chemical_formula_sum 'Sc8 Ge12 Ru14'
_cell_length_a 8.1648
_cell_length_b 8.1648
_cell_length_c 8.1648
_cell_angle_alpha 90.00
_cell_angle_beta 90.00
_cell_angle_gamma 90.00
_space_group_name_H-M_alt 'I m -3 m'
_space_group_IT_number 229
_space_group_name_Hall '-I 4 2 3'
loop_
_atom_site_label
_atom_site_type_symbol
_atom_site_fract_x
_atom_site_fract_y
_atom_site_fract_z
Sc1 Sc 0.2500 0.2500 0.2500
Ge1 Ge 0.0000 0.0000 0.3094
Ru1 Ru 0.0000 0.0000 0.0000
Ru2 Ru 0.0000 0.2500 0.5000
```

E	-7.559	eV/atom
Fermi-level density of states	30.7	states/eV/cell



(3)
Below is a geometry-optimized Sc4GeRu3 structure, with properties calculated at the GGA-PBE level.

```
data_Sc4GeRu3
_chemical_formula_sum 'Sc12 Ge3 Ru9'
_cell_length_a 4.5681
_cell_length_b 4.5681
_cell_length_c 22.5801
_cell_angle_alpha 90.00
_cell_angle_beta 90.00
_cell_angle_gamma 120.00
_space_group_name_H-M_alt 'R -3 m'
_space_group_IT_number 166
_space_group_name_Hall '-R 3 2"'
loop_
_atom_site_label
_atom_site_type_symbol
_atom_site_fract_x
_atom_site_fract_y
_atom_site_fract_z
Sc1 Sc 0.0000 0.0000 0.1206
Sc2 Sc 0.0000 0.0000 0.3722
Ge1 Ge 0.0000 0.0000 0.5000
Ru1 Ru 0.0000 0.0000 0.0000
Ru2 Ru 0.0000 0.0000 0.2486
```

E	-7.863	eV/atom
Fermi-level density of states	10.8	states/eV/cell



(4)
Below is a geometry-optimized ScGe3Ru structure, with properties calculated at the GGA-PBE level.

```
data_ScGe3Ru
_chemical_formula_sum 'Sc1 Ge3 Ru1'
_cell_length_a 4.9714
_cell_length_b 4.9714
_cell_length_c 4.9714
_cell_angle_alpha 90.00
_cell_angle_beta 90.00
_cell_angle_gamma 90.00
_space_group_name_H-M_alt 'P m -3 m'
_space_group_IT_number 221
_space_group_name_Hall '-P 4 2 3'
loop_
_atom_site_label
_atom_site_type_symbol
_atom_site_fract_x
_atom_site_fract_y
_atom_site_fract_z
Sc1 Sc 0.0000 0.0000 0.0000
Ge1 Ge 0.0000 0.0000 0.5000
Ru1 Ru 0.5000 0.5000 0.5000
```

E	-4.699	eV/atom
Fermi-level density of states	4.3	states/eV/cell



(5)
Below is a geometry-optimized Sc2Ge2Ru structure, with properties calculated at the GGA-PBE level.

```
data_Sc2Ge2Ru
_chemical_formula_sum 'Sc4 Ge4 Ru2'
_cell_length_a 4.0105
_cell_length_b 5.4477
_cell_length_c 8.2018
_cell_angle_alpha 90.00
_cell_angle_beta 90.00
_cell_angle_gamma 90.00
_space_group_name_H-M_alt 'I m m m'
_space_group_IT_number 71
_space_group_name_Hall '-I 2 2'
loop_
_atom_site_label
_atom_site_type_symbol
_atom_site_fract_x
_atom_site_fract_y
_atom_site_fract_z
Sc1 Sc 0.0000 0.0000 0.2089
Ge1 Ge 0.0000 0.2710 0.5000
Ru1 Ru 0.0000 0.5000 0.0000
```

E	-6.956	eV/atom
Fermi-level density of states	6.4	states/eV/cell



(6)
Below is a geometry-optimized ScGe2Ru structure, with properties calculated at the GGA-PBE level.

```
data_ScGe2Ru
_chemical_formula_sum 'Sc3 Ge6 Ru3'
_cell_length_a 4.4130
_cell_length_b 4.4130
_cell_length_c 19.1909
_cell_angle_alpha 90.00
_cell_angle_beta 90.00
_cell_angle_gamma 120.00
_space_group_name_H-M_alt 'R -3 m'
_space_group_IT_number 166
_space_group_name_Hall '-R 3 2"'
loop_
_atom_site_label
_atom_site_type_symbol
_atom_site_fract_x
_atom_site_fract_y
_atom_site_fract_z
Sc1 Sc 0.0000 0.0000 0.0000
Ge1 Ge 0.0000 0.0000 0.3771
Ru1 Ru 0.0000 0.0000 0.5000
```

E	-5.308	eV/atom
Fermi-level density of states	16.0	states/eV/cell



(7)
Below is a geometry-optimized ScGe2Ru structure, with properties calculated at the GGA-PBE level.

```
data_ScGe2Ru
_chemical_formula_sum 'Sc12 Ge24 Ru12'
_cell_length_a 9.3567
_cell_length_b 10.4209
_cell_length_c 8.1828
_cell_angle_alpha 90.00
_cell_angle_beta 90.00
_cell_angle_gamma 90.00
_space_group_name_H-M_alt 'P b a m'
_space_group_IT_number 55
_space_group_name_Hall '-P 2 2ab'
loop_
_atom_site_label
_atom_site_type_symbol
_atom_site_fract_x
_atom_site_fract_y
_atom_site_fract_z
Sc1 Sc 0.1652 0.1776 0.0000
Sc2 Sc 0.1767 0.4503 0.2440
Ge1 Ge 0.0271 0.6198 0.5000
Ge2 Ge 0.0331 0.6168 0.0000
Ge3 Ge 0.1284 0.9000 0.5000
Ge4 Ge 0.1333 0.8969 0.0000
Ge5 Ge 0.1624 0.1791 0.3446
Ru1 Ru 0.0000 0.0000 0.2463
Ru2 Ru 0.0873 0.7372 0.2488
```

E	-6.880	eV/atom
Fermi-level density of states	26.1	states/eV/cell



(8)
Below is a geometry-optimized ScGe2Ru structure, with properties calculated at the GGA-PBE level.

```
data_ScGe2Ru
_chemical_formula_sum 'Sc4 Ge8 Ru4'
_cell_length_a 6.3653
_cell_length_b 6.3653
_cell_length_c 6.3653
_cell_angle_alpha 90.00
_cell_angle_beta 90.00
_cell_angle_gamma 90.00
_space_group_name_H-M_alt 'F m -3 m'
_space_group_IT_number 225
_space_group_name_Hall '-F 4 2 3'
loop_
_atom_site_label
_atom_site_type_symbol
_atom_site_fract_x
_atom_site_fract_y
_atom_site_fract_z
Sc1 Sc 0.0000 0.0000 0.0000
Ge1 Ge 0.2500 0.2500 0.2500
Ru1 Ru 0.0000 0.0000 0.5000
```

E	-6.624	eV/atom
Fermi-level density of states	9.0	states/eV/cell



(9)
Below is a geometry-optimized Sc3GeRu2 structure, with properties calculated at the GGA-PBE level.

```
data_Sc3GeRu2
_chemical_formula_sum 'Sc3 Ge1 Ru2'
_cell_length_a 3.3109
_cell_length_b 3.3109
_cell_length_c 9.4127
_cell_angle_alpha 90.00
_cell_angle_beta 90.00
_cell_angle_gamma 90.00
_space_group_name_H-M_alt 'P 4/m m m'
_space_group_IT_number 123
_space_group_name_Hall '-P 4 2'
loop_
_atom_site_label
_atom_site_type_symbol
_atom_site_fract_x
_atom_site_fract_y
_atom_site_fract_z
Sc1 Sc 0.0000 0.0000 0.0000
Sc2 Sc 0.0000 0.0000 0.3243
Ge1 Ge 0.5000 0.5000 0.5000
Ru1 Ru 0.5000 0.5000 0.1699
```

E	-7.699	eV/atom
Fermi-level density of states	2.5	states/eV/cell



(10)
Below is a geometry-optimized ScGe2Ru structure, with properties calculated at the GGA-PBE level.

```
data_ScGe2Ru
_chemical_formula_sum 'Sc4 Ge8 Ru4'
_cell_length_a 6.8324
_cell_length_b 7.5952
_cell_length_c 5.3358
_cell_angle_alpha 90.00
_cell_angle_beta 90.00
_cell_angle_gamma 90.00
_space_group_name_H-M_alt 'P b c m'
_space_group_IT_number 57
_space_group_name_Hall '-P 2c 2b'
loop_
_atom_site_label
_atom_site_type_symbol
_atom_site_fract_x
_atom_site_fract_y
_atom_site_fract_z
Sc1 Sc 0.1416 0.0808 0.2500
Ge1 Ge 0.1570 0.7500 0.0000
Ge2 Ge 0.4554 0.2500 0.0000
Ru1 Ru 0.3543 0.5187 0.2500
```

E	-6.680	eV/atom
Fermi-level density of states	5.9	states/eV/cell



(11)
Below is a geometry-optimized SmScGe2Ru structure, with properties calculated at the GGA-PBE level.

```
data_SmScGe2Ru
_chemical_formula_sum 'Sm2 Sc2 Ge4 Ru2'
_cell_length_a 4.0833
_cell_length_b 4.0833
_cell_length_c 11.7543
_cell_angle_alpha 90.00
_cell_angle_beta 90.00
_cell_angle_gamma 90.00
_space_group_name_H-M_alt 'I -4 m 2'
_space_group_IT_number 119
_space_group_name_Hall 'I -4 -2'
loop_
_atom_site_label
_atom_site_type_symbol
_atom_site_fract_x
_atom_site_fract_y
_atom_site_fract_z
Sm1 Sm 0.0000 0.0000 0.0000
Sc1 Sc 0.0000 0.5000 0.7500
Ge1 Ge 0.0000 0.0000 0.3934
Ru1 Ru 0.0000 0.5000 0.2500
```

E	-6.670	eV/atom
Fermi-level density of states	4.3	states/eV/cell



(12)
Below is a geometry-optimized TbScGe2Ru structure, with properties calculated at the GGA-PBE level.

```
data_TbScGe2Ru
_chemical_formula_sum 'Tb2 Sc2 Ge4 Ru2'
_cell_length_a 4.0474
_cell_length_b 4.0474
_cell_length_c 11.7298
_cell_angle_alpha 90.00
_cell_angle_beta 90.00
_cell_angle_gamma 90.00
_space_group_name_H-M_alt 'I -4 m 2'
_space_group_IT_number 119
_space_group_name_Hall 'I -4 -2'
loop_
_atom_site_label
_atom_site_type_symbol
_atom_site_fract_x
_atom_site_fract_y
_atom_site_fract_z
Tb1 Tb 0.0000 0.0000 0.0000
Sc1 Sc 0.0000 0.5000 0.2500
Ge1 Ge 0.0000 0.0000 0.3945
Ru1 Ru 0.0000 0.5000 0.7500
```

E	-6.647	eV/atom
Fermi-level density of states	4.0	states/eV/cell